A plane-wave DFT calculation with PBE was carried out for a relaxed structure of Zr4HgTe.

Unit cell a=5.837 b=5.837 c=5.837 alpha=60.00 beta=60.00 gamma=60.00
Element x y z (fractional)
1 Zr 0.872 0.376 0.376
2 Zr 0.376 0.376 0.872
3 Zr 0.376 0.872 0.376
4 Zr 0.376 0.376 0.376
5 Hg 0.750 0.750 0.750
6 Te 0.000 0.000 0.000

Values from the calculation:
- Total DFT energy (no corrections): -6.091 eV per atom
- Formation energy (no corrections): 1.1 eV/f.u.

---

A plane-wave DFT calculation with PBE was carried out for a relaxed structure of LaHg2Cl8.

Unit cell a=7.201 b=8.034 c=8.034 alpha=52.02 beta=99.93 gamma=99.93
Element x y z (fractional)
1 La 0.000 0.000 0.000
2 Hg 0.740 0.220 0.220
3 Hg 0.260 0.780 0.780
4 Cl 0.152 0.138 0.625
5 Cl 0.152 0.625 0.138
6 Cl 0.848 0.862 0.375
7 Cl 0.334 0.628 0.628
8 Cl 0.848 0.375 0.862
9 Cl 0.341 0.127 0.127
10 Cl 0.659 0.873 0.873
11 Cl 0.666 0.372 0.372

Values from the calculation:
- Total DFT energy (no corrections): -2.894 eV per atom
- Formation energy (no corrections): -11.5 eV/f.u.

---

A plane-wave DFT calculation with PBE was carried out for a relaxed structure of Sr4Hg2Br.

Unit cell a=6.028 b=6.028 c=9.066 alpha=109.42 beta=109.42 gamma=90.00
Element x y z (fractional)
1 Sr 0.794 0.794 0.588
2 Sr 0.206 0.206 0.412
3 Sr 0.000 0.500 0.000
4 Sr 0.500 0.000 0.000
5 Hg 0.597 0.597 0.194
6 Hg 0.403 0.403 0.806
7 Br 0.000 0.000 0.000

Values from the calculation:
- Total DFT energy (no corrections): -1.840 eV per atom
- Formation energy (no corrections): -3.9 eV/f.u.